An optimized crystal structure of Nb2Cr. Source: Alexandria, functional GGA-PBE.

It has space group Fd-3m (No. 227, origin choice 2), with a = 7.625 Å, b = 7.625 Å, c = 7.625 Å, α = 90.00°, β = 90.00° and γ = 90.00°. The inequivalent atoms are Nb at (0.000, 0.000, 0.000) and Cr at (0.125, 0.125, 0.625).

Its energy relative to the elements is 0.624 eV per atom. The crystal system is cubic. The volume is 18.5 Å³ per atom.

An optimized crystal structure of PaHg3. Source: Alexandria, functional GGA-PBE.

It has space group Pm-3m (No. 221), with a = 4.647 Å, b = 4.647 Å, c = 4.647 Å, α = 90.00°, β = 90.00° and γ = 90.00°. The inequivalent atoms are Pa at (0.000, 0.000, 0.000) and Hg at (0.000, 0.500, 0.500).

Its energy relative to the elements is 0.140 eV per atom. The crystal system is cubic. As for the polymorph energy (0 for the lowest one): 0.055 eV per atom. The volume is 25.1 Å³ per atom.

An optimized crystal structure of Ce2PmSm. Source: Alexandria, functional GGA-PBE.

It has space group R3m (No. 160, hexagonal axes), with a = 3.5289 Å, b = 3.5289 Å, c = 35.0608 Å, α = 90.00°, β = 90.00° and γ = 120.00°. The inequivalent atoms are Ce at (0.0000, 0.0000, 0.0000), Ce at (0.0000, 0.0000, 0.1669), Pm at (0.0000, 0.0000, 0.7513) and Sm at (0.0000, 0.0000, 0.5820).

Its energy relative to the elements is 0.113 eV per atom. The crystal system is trigonal. As for the polymorph energy (0 for the lowest one): 0.000 eV per atom. The volume is 31.5 Å³ per atom.

An optimized crystal structure of Sm6AlRu2. Source: Alexandria, functional GGA-PBE.

It has space group Immm (No. 71), with a = 9.509 Å, b = 9.575 Å, c = 10.615 Å, α = 90.00°, β = 90.00° and γ = 90.00°. The inequivalent atoms are Sm at (0.000, 0.197, 0.240), Sm at (0.188, 0.500, 0.171), Sm at (0.215, 0.319, 0.500), Al at (0.000, 0.000, 0.000), Al at (0.000, 0.000, 0.500), Ru at (0.000, 0.311, 0.000) and Ru at (0.000, 0.500, 0.372).

Its energy relative to the elements is -0.279 eV per atom. The crystal system is orthorhombic. The volume is 26.8 Å³ per atom.

An optimized crystal structure of ZrTa5. Source: Alexandria, functional GGA-PBE.

It has space group F-43m (No. 216), with a = 7.772 Å, b = 7.772 Å, c = 7.772 Å, α = 90.00°, β = 90.00° and γ = 90.00°. The inequivalent atoms are Zr at (0.000, 0.000, 0.000), Ta at (0.125, 0.125, 0.375) and Ta at (0.250, 0.250, 0.750).

Its energy relative to the elements is 0.112 eV per atom. The crystal system is cubic. As for the polymorph energy (0 for the lowest one): 0.032 eV per atom. The volume is 19.6 Å³ per atom.

An optimized crystal structure of TaGaRh2. Source: Alexandria, functional GGA-PBE.

It has space group P4/mmm (No. 123), with a = 4.550 Å, b = 4.550 Å, c = 2.952 Å, α = 90.00°, β = 90.00° and γ = 90.00°. The inequivalent atoms are Ta at (0.000, 0.000, 0.000), Ga at (0.500, 0.500, 0.000) and Rh at (0.000, 0.500, 0.500).

Its energy relative to the elements is -0.471 eV per atom. The crystal system is tetragonal. The volume is 15.3 Å³ per atom.

An optimized crystal structure of LaDy2PuO8. Source: Alexandria, functional GGA-PBE.

It has space group Cmmm (No. 65), with a = 7.237 Å, b = 7.252 Å, c = 7.176 Å, α = 90.00°, β = 90.00° and γ = 90.00°. The inequivalent atoms are La at (0.000, 0.000, 0.000), Dy at (0.000, 0.500, 0.244), Pu at (0.000, 0.000, 0.500), O at (0.000, 0.187, 0.289), O at (0.183, 0.500, 0.000) and O at (0.222, 0.500, 0.500).

The value obtained for the uncorrected formation energy is -3.080 eV per atom. The crystal system is orthorhombic. The volume is 15.7 Å³ per atom.

An optimized crystal structure of DyThIn4. Source: Alexandria, functional GGA-PBE.

It has space group F-43m (No. 216), with a = 8.550 Å, b = 8.550 Å, c = 8.550 Å, α = 90.00°, β = 90.00° and γ = 90.00°. The inequivalent atoms are Dy at (0.000, 0.000, 0.000), Th at (0.250, 0.250, 0.750) and In at (0.125, 0.125, 0.375).

Its energy relative to the elements is -0.275 eV per atom. The crystal system is cubic. The volume is 26.0 Å³ per atom.

An optimized crystal structure of Ti6Sn3Au. Source: Alexandria, functional GGA-PBE.

It has space group Cmc2_1 (No. 36), with a = 8.401 Å, b = 13.900 Å, c = 6.765 Å, α = 90.00°, β = 90.00° and γ = 90.00°. The inequivalent atoms are Ti at (0.000, 0.049, 0.000), Ti at (0.000, 0.264, 0.698), Ti at (0.191, 0.416, 0.785), Ti at (0.195, 0.224, 0.013), Sn at (0.000, 0.412, 0.422), Sn at (0.198, 0.098, 0.672) and Au at (0.000, 0.175, 0.327).

Its energy relative to the elements is -0.139 eV per atom. The crystal system is orthorhombic. The volume is 19.8 Å³ per atom.

An optimized crystal structure of AcAg2F11. Source: Alexandria, functional GGA-PBE.

It has space group Ibam (No. 72), with a = 8.843 Å, b = 10.567 Å, c = 11.084 Å, α = 90.00°, β = 90.00° and γ = 90.00°. The inequivalent atoms are Ac at (0.000, 0.000, 0.250), Ag at (0.220, 0.273, 0.000), F at (0.000, 0.500, 0.000), F at (0.046, 0.342, 0.500), F at (0.137, 0.159, 0.126) and F at (0.195, 0.112, 0.375).

The value obtained for the uncorrected formation energy is -1.735 eV per atom. The crystal system is orthorhombic. The volume is 18.5 Å³ per atom.

An optimized crystal structure of NaCa4Cu2. Source: Alexandria, functional GGA-PBE.

It has space group Cmcm (No. 63), with a = 5.437 Å, b = 9.364 Å, c = 16.053 Å, α = 90.00°, β = 90.00° and γ = 90.00°. The inequivalent atoms are Na at (0.000, 0.003, 0.250), Ca at (0.000, 0.000, 0.000), Ca at (0.000, 0.331, 0.750), Ca at (0.000, 0.335, 0.115) and Cu at (0.000, 0.331, 0.568).

Its energy relative to the elements is 0.048 eV per atom. The crystal system is orthorhombic. The volume is 29.2 Å³ per atom.

An optimized crystal structure of LaTc2H8. Source: Alexandria, functional GGA-PBE.

It has space group C2/m (No. 12), with a = 5.506 Å, b = 8.858 Å, c = 3.607 Å, α = 90.00°, β = 92.00° and γ = 90.00°. The inequivalent atoms are La at (0.000, 0.000, 0.000), Tc at (0.000, 0.325, 0.500), H at (0.000, 0.287, 0.000), H at (0.078, 0.500, 0.735) and H at (0.175, 0.149, 0.516).

The crystal system is monoclinic. As for the polymorph energy (0 for the lowest one): 0.000 eV per atom. The volume is 8.0 Å³ per atom.

| no. | size of the total moment (μB/atom) | ρ (g/cm³) |
| --- | --- | --- |
| 1 | 0.962 | 7.126 |
| 2 | 0.500 | 13.778 |
| 3 | 0.334 | 7.583 |
| 4 | 0.000 | 7.774 |
| 5 | 0.000 | 14.093 |
| 6 | 0.000 | 12.402 |
| 7 | 0.084 | 7.371 |
| 8 | 0.000 | 9.074 |
| 9 | 0.000 | 7.065 |
| 10 | 0.000 | 4.180 |
| 11 | 0.000 | 2.523 |
| 12 | 0.000 | 6.479 |